[1]
AcEr2Ge2Pd7: relaxed, PBE.

abc: 4.139 4.139 13.977
angles: 96.80 96.80 89.34
Sites, in units of the cell vectors:
Ac  0.000  0.000  0.000
Er  0.132  0.132  0.353
Er  0.868  0.868  0.647
Ge  0.395  0.395  0.731
Ge  0.605  0.605  0.269
Pd  0.066  0.567  0.168
Pd  0.321  0.321  0.553
Pd  0.433  0.934  0.832
Pd  0.500  0.500  0.000
Pd  0.567  0.066  0.168
Pd  0.679  0.679  0.447
Pd  0.934  0.433  0.832

Summary:
* D(E_F): 0.5279 states/eV/atom
* space-group type: No. 12
* ΔE_f: -0.727 eV/atom

[2]
Ac2ErGe3Pd4: relaxed, PBE.

abc: 4.419 4.419 11.233
angles: 90.00 90.00 90.00
Sites, in units of the cell vectors:
Ac  0.000  0.500  0.229
Ac  0.500  0.000  0.771
Er  0.000  0.000  0.500
Ge  0.000  0.500  0.882
Ge  0.500  0.000  0.118
Ge  0.500  0.500  0.500
Pd  0.000  0.000  0.000
Pd  0.000  0.500  0.653
Pd  0.500  0.000  0.347
Pd  0.500  0.500  0.000

Summary:
* D(E_F): 0.5590 states/eV/atom
* space-group type: No. 115
* ΔE_f: -0.858 eV/atom